1.
A relaxed CePuSc2O8 crystal, computed with PBE.

Summary:
For the spin magnetization, the calculation gives 2.00 μB/f.u. Its energy relative to the elements, uncorrected is -3.101 eV per atom.

a = 4.872 Å, b = 4.872 Å, c = 6.931 Å
α = 90.00°, β = 90.00°, γ = 90.17°
Sites, in units of the cell vectors:
1 Ce 0.000 0.000 0.000
2 Pu 0.000 0.000 0.500
3 Sc 0.500 0.500 0.241
4 Sc 0.500 0.500 0.759
5 O 0.196 0.804 0.268
6 O 0.196 0.804 0.732
7 O 0.294 0.294 0.500
8 O 0.316 0.316 0.000
9 O 0.684 0.684 0.000
10 O 0.706 0.706 0.500
11 O 0.804 0.196 0.268
12 O 0.804 0.196 0.732

***

2.
A relaxed YNbNF2 crystal, computed with PBE.

Summary:
For the spin magnetization, the calculation gives 3.00 μB/f.u. The relative energy among the computed polymorphs is 0.232 eV/atom. Its energy relative to the elements, uncorrected is -1.179 eV per atom.

a = 4.189 Å, b = 4.189 Å, c = 4.845 Å
α = 90.00°, β = 90.00°, γ = 90.00°
Sites, in units of the cell vectors:
1 Y 0.000 0.000 0.000
2 Nb 0.500 0.500 0.500
3 N 0.000 0.000 0.500
4 F 0.000 0.500 0.000
5 F 0.500 0.000 0.000

***

3.
A relaxed PrTmAs2 crystal, computed with PBE.

Summary:
For the spin magnetization, the calculation gives 0.00 μB/f.u. The formation energy comes out at -1.49 eV per atom. The relative energy among the computed polymorphs is 0.000 eV/atom.

a = 4.193 Å, b = 4.193 Å, c = 20.470 Å
α = 90.00°, β = 90.00°, γ = 120.00°
Sites, in units of the cell vectors:
1 Pr 0.000 0.000 0.000
2 Pr 0.333 0.667 0.667
3 Pr 0.667 0.333 0.333
4 Tm 0.000 0.000 0.500
5 Tm 0.333 0.667 0.167
6 Tm 0.667 0.333 0.833
7 As 0.000 0.000 0.245
8 As 0.000 0.000 0.755
9 As 0.333 0.667 0.422
10 As 0.333 0.667 0.912
11 As 0.667 0.333 0.088
12 As 0.667 0.333 0.578